This record from Alexandria via LeMat-Bulk describes a relaxed structure of CuPt3. The functional is PBEsol.

Unit cell a=4.528 b=5.381 c=4.677 alpha=90.00 beta=90.00 gamma=90.00
Fractional positions:
Cu (0.250, 0.250, 0.164)
Cu (0.750, 0.750, 0.836)
Pt (0.250, 0.004, 0.664)
Pt (0.250, 0.496, 0.664)
Pt (0.250, 0.750, 0.161)
Pt (0.750, 0.250, 0.839)
Pt (0.750, 0.504, 0.336)
Pt (0.750, 0.996, 0.336)

Properties
- SG = Pmmn
- total magnetization (μB per formula unit) = 0.00
- DFT formation energy (meV per atom) = -30.7